No. 1
VASP calculation (PBE-GGA) on a relaxed structure of Sn5Pd3Au.

Cell and atoms, written as extended XYZ:
```
18
Lattice="7.4336 -0.1261 0.9678 1.9137 7.1841 0.9678 3.9063 2.9496 8.9587" Properties=species:S:1:pos:R:3 pbc="T T T"
Sn 5.8656 1.9504 0.9678
Sn 6.4420 7.9800 4.9460
Sn 3.8149 5.9963 5.9483
Sn 5.4867 4.1429 4.0332
Sn 11.1797 8.4417 10.1628
Sn 7.7669 5.8647 6.8610
Sn 9.4387 4.0114 4.9460
Sn 2.0739 1.5660 0.7315
Sn 6.8116 2.0277 5.9483
Sn 3.4817 5.1076 0.9678
Pd 7.5732 5.7184 3.8830
Pd 5.6804 4.2893 7.0113
Pd 0.0000 0.0000 0.0000
Pd 1.9532 1.4748 4.4794
Pd 9.4939 7.1687 8.5183
Pd 3.7597 2.8389 2.3760
Au 9.7159 7.3364 4.6181
Au 3.5377 2.6713 6.2761
```

Summary:
**Energy of formation from the pure elements**: -0.188 eV/atom
**E_tot**: -40.56 eV per formula unit

---

No. 2
VASP calculation (PBE-GGA) on a relaxed structure of Sr2TaI.

Cell and atoms, written as extended XYZ:
```
8
Lattice="8.9669 0.0000 0.0000 0.0000 8.9669 0.0000 4.4835 4.4835 3.8966" Properties=species:S:1:pos:R:3 pbc="T T T"
I 4.4835 4.4835 0.0000
I 4.4835 8.9669 1.9483
Ta 0.0000 0.0000 0.0000
Ta 8.9669 4.4835 1.9483
Sr 2.2851 6.7252 0.9741
Sr 11.2086 11.1652 2.9224
Sr 6.6818 2.2417 0.9741
Sr 6.7252 6.7686 2.9224
```

Summary:
**Formation energy from raw total energies**: 0.716 eV per atom
**E_tot**: -13.90 eV per formula unit

---

No. 3
VASP calculation (PBE-GGA) on a relaxed structure of AcFeSb2.

Cell and atoms, written as extended XYZ:
```
4
Lattice="4.6211 0.0000 0.0000 0.0000 4.8457 0.0000 0.0000 0.0000 4.8457" Properties=species:S:1:pos:R:3 pbc="T T T"
Sb 0.0000 2.4229 0.0000
Sb 0.0000 0.0000 2.4229
Fe 2.3105 0.0000 0.0000
Ac 2.3105 2.4229 2.4229
```

Summary:
**Formation energy from raw total energies**: -0.083 eV per atom
**E_tot**: -21.15 eV per formula unit

---

No. 4
VASP calculation (PBE-GGA) on a relaxed structure of CsAlAgF6.

Cell and atoms, written as extended XYZ:
```
9
Lattice="-4.3592 3.5154 1.3534 -3.8141 1.4468 -3.7712 -3.5969 -4.9205 1.6665" Properties=species:S:1:pos:R:3 pbc="T T T"
F -3.9114 0.5069 1.1651
F -2.8011 -1.0702 -0.6699
F -4.1985 -1.9414 1.4412
F -6.2991 -0.5522 0.5764
F -5.0519 -2.2341 -0.9616
F -4.8192 0.4642 -1.2351
Al -4.5406 -0.8098 -0.0215
Ag -7.2557 0.8460 -0.8042
Cs -7.9849 -1.4101 2.9415
```

Summary:
**Formation energy from raw total energies**: -2.602 eV per atom
**E_tot**: -42.09 eV per formula unit

---

No. 5
VASP calculation (PBE-GGA) on a relaxed structure of Ce4Pd2Pb.

Cell and atoms, written as extended XYZ:
```
7
Lattice="-2.6349 -2.8856 2.1490 1.4408 -4.1360 0.8401 3.8567 1.1546 10.9062" Properties=species:S:1:pos:R:3 pbc="T T T"
Ce 1.4427 -0.8284 5.2837
Ce 1.2199 -5.0385 8.6117
Ce -0.0709 -4.0854 3.6817
Ce 2.7335 -1.7816 10.2137
Pb 0.0000 0.0000 0.0000
Pd 0.0643 -5.9879 5.9201
Pd 2.5983 0.1209 7.9753
```

Summary:
**Energy of formation from the pure elements**: -0.335 eV/atom
**E_tot**: -40.17 eV per formula unit

---

No. 6
VASP calculation (PBE-GGA) on a relaxed structure of PPb.

Cell and atoms, written as extended XYZ:
```
12
Lattice="-1.8770 -7.3189 -2.1703 3.2839 -2.7917 6.5744 -6.8915 0.6632 3.7239" Properties=species:S:1:pos:R:3 pbc="T T T"
Pb 1.1727 -3.2256 2.7446
Pb 0.2342 -6.8851 1.6595
Pb -0.9829 -1.7622 6.7927
Pb -2.6248 -0.3663 3.5055
Pb -6.1072 -3.1621 1.7077
Pb -2.6614 -3.4937 -0.1542
P 1.5244 -5.7532 3.8457
P -3.5267 -0.8985 6.0801
P -3.9150 -1.4982 1.3194
P -4.8535 -5.1576 0.2342
P -0.0810 -1.2301 4.2182
P -0.1175 -4.3574 0.5585
```

Summary:
**Energy of formation from the pure elements**: 0.403 eV/atom
**E_tot**: -8.31 eV per formula unit